Compound: SmPaCu
Source: Alexandria
Functional: PBE
Structure: relaxed

M_tot = 0.0 μB per cell
Energy above the lowest structure with this stoichiometry = 0.011 eV/atom

a = 6.8043 Å, b = 6.8043 Å, c = 6.8043 Å
α = 151.64°, β = 151.64°, γ = 40.55°
With the nearest neighbours (Å) after each atom.
Atoms (fractional coordinates):
Sm1 0.0000 0.0000 0.0000  4 Cu 3.07, 4 Sm 3.33
Pa1 0.2944 0.2944 0.0000  4 Cu 2.96
Cu1 0.6536 0.6536 0.0000  4 Pa 2.96, 4 Sm 3.07

=====

Compound: SmPaCu
Source: Alexandria
Functional: PBE
Structure: relaxed

M_tot = 0.0 μB per cell
Energy above the lowest structure with this stoichiometry = 0.000 eV/atom

a = 5.6640 Å, b = 5.6640 Å, c = 8.2725 Å
α = 100.24°, β = 100.24°, γ = 34.90°
With the nearest neighbours (Å) after each atom.
Atoms (fractional coordinates):
Sm1 0.1135 0.1135 0.3350  4 Cu 2.93-3.04
Sm2 0.8865 0.8865 0.6650  4 Cu 2.93-3.04
Pa1 0.3852 0.3852 0.0477  1 Pa 2.74, 2 Cu 2.84
Pa2 0.6148 0.6148 0.9523  1 Pa 2.74, 2 Cu 2.84
Cu1 0.1719 0.1719 0.7015  2 Pa 2.84, 4 Sm 2.93-3.04
Cu2 0.8281 0.8281 0.2985  2 Pa 2.84, 4 Sm 2.93-3.04

=====

Compound: SmPa2Cu9
Source: Alexandria
Functional: PBE
Structure: relaxed

M_tot = 0.0 μB per cell

a = 8.9647 Å, b = 8.9647 Å, c = 8.9647 Å
α = 33.05°, β = 33.05°, γ = 33.05°
With the nearest neighbours (Å) after each atom.
Atoms (fractional coordinates):
Sm1 0.0000 0.0000 0.0000  18 Cu 2.94-3.29
Pa1 0.1476 0.1476 0.1476  12 Cu 2.98-3.05, 3 Pa 3.10
Pa2 0.8524 0.8524 0.8524  12 Cu 2.98-3.05, 3 Pa 3.10
Cu1 0.0832 0.5809 0.5809  7 Cu 2.53-2.61
Cu2 0.3325 0.3325 0.3325  6 Cu 2.53-2.56
Cu3 0.4191 0.4191 0.9168  7 Cu 2.53-2.61
Cu4 0.4191 0.9168 0.4191  7 Cu 2.53-2.61
Cu5 0.5000 0.5000 0.5000  6 Cu 2.61
Cu6 0.5809 0.0832 0.5809  7 Cu 2.53-2.61
Cu7 0.5809 0.5809 0.0832  7 Cu 2.53-2.61
Cu8 0.6675 0.6675 0.6675  6 Cu 2.53-2.56
Cu9 0.9168 0.4191 0.4191  7 Cu 2.53-2.61

=====

Compound: SmPaCuTc
Source: Alexandria
Functional: PBE
Structure: relaxed

M_tot = 0.0 μB per cell

a = 4.9112 Å, b = 4.9112 Å, c = 4.9112 Å
α = 60.00°, β = 60.00°, γ = 60.00°
With the nearest neighbours (Å) after each atom.
Atoms (fractional coordinates):
Sm1 0.0000 0.0000 0.0000  4 Cu 3.01, 4 Tc 3.01
Pa1 0.5000 0.5000 0.5000  4 Tc 3.01, 4 Cu 3.01
Cu1 0.7500 0.7500 0.7500  4 Pa 3.01, 4 Sm 3.01
Tc1 0.2500 0.2500 0.2500  4 Pa 3.01, 4 Sm 3.01

=====

Compound: PaCu2Sn
Source: Alexandria
Functional: PBE
Structure: relaxed

M_tot = 0.0 μB per cell

a = 3.2861 Å, b = 3.2861 Å, c = 6.9890 Å
α = 90.00°, β = 90.00°, γ = 90.00°
With the nearest neighbours (Å) after each atom.
Atoms (fractional coordinates):
Pa1 0.0000 0.0000 0.0000  8 Cu 2.98, 4 Pa 3.29
Cu1 0.5000 0.5000 0.2665  4 Sn 2.84, 4 Pa 2.98
Cu2 0.5000 0.5000 0.7335  4 Sn 2.84, 4 Pa 2.98
Sn1 0.0000 0.0000 0.5000  8 Cu 2.84

=====

Compound: PaCu2Sn
Source: Alexandria
Functional: PBE
Structure: relaxed

M_tot = 0.9 μB per cell

a = 4.5315 Å, b = 4.5315 Å, c = 3.8292 Å
α = 90.00°, β = 90.00°, γ = 90.00°
With the nearest neighbours (Å) after each atom.
Atoms (fractional coordinates):
Pa1 0.0000 0.0000 0.0000  8 Cu 2.97, 4 Sn 3.20
Cu1 0.0000 0.5000 0.5000  4 Sn 2.97, 4 Pa 2.97, 4 Cu 3.20
Cu2 0.5000 0.0000 0.5000  4 Sn 2.97, 4 Pa 2.97, 4 Cu 3.20
Sn1 0.5000 0.5000 0.0000  8 Cu 2.97, 4 Pa 3.20

=====

Compound: PaCu4Sn
Source: Alexandria
Functional: PBE
Structure: relaxed

M_tot = 0.0 μB per cell

a = 5.1952 Å, b = 5.1952 Å, c = 5.1952 Å
α = 60.00°, β = 60.00°, γ = 60.00°
With the nearest neighbours (Å) after each atom.
Atoms (fractional coordinates):
Pa1 0.0000 0.0000 0.0000  12 Cu 3.04, 4 Sn 3.18
Cu1 0.3743 0.3743 0.3743  6 Cu 2.58-2.61
Cu2 0.3743 0.3743 0.8772  6 Cu 2.58-2.61
Cu3 0.3743 0.8772 0.3743  6 Cu 2.58-2.61
Cu4 0.8772 0.3743 0.3743  6 Cu 2.58-2.61
Sn1 0.7500 0.7500 0.7500  12 Cu 3.05, 4 Pa 3.18

=====

Compound: Pa3Cu3Sn4
Source: Alexandria
Functional: PBE
Structure: relaxed

M_tot = 2.4 μB per cell

a = 8.2816 Å, b = 8.2816 Å, c = 8.2816 Å
α = 109.47°, β = 109.47°, γ = 109.47°
With the nearest neighbours (Å) after each atom.
Atoms (fractional coordinates):
Pa1 0.1250 0.7500 0.8750  4 Cu 2.93
Pa2 0.2500 0.6250 0.3750  4 Cu 2.93
Pa3 0.3750 0.2500 0.6250  4 Cu 2.93
Pa4 0.6250 0.3750 0.2500  4 Cu 2.93
Pa5 0.7500 0.8750 0.1250  4 Cu 2.93
Pa6 0.8750 0.1250 0.7500  4 Cu 2.93
Cu1 0.1250 0.8750 0.2500  4 Sn 2.68, 4 Pa 2.93
Cu2 0.2500 0.1250 0.8750  4 Sn 2.68, 4 Pa 2.93
Cu3 0.3750 0.6250 0.7500  4 Sn 2.68, 4 Pa 2.93
Cu4 0.6250 0.7500 0.3750  4 Sn 2.68, 4 Pa 2.93
Cu5 0.7500 0.3750 0.6250  4 Sn 2.68, 4 Pa 2.93
Cu6 0.8750 0.2500 0.1250  4 Sn 2.68, 4 Pa 2.93
Sn1 0.0000 0.3281 0.5000  3 Cu 2.68
Sn2 0.0000 0.8281 0.5000  3 Cu 2.68
Sn3 0.1719 0.1719 0.1719  3 Cu 2.68
Sn4 0.3281 0.5000 0.0000  3 Cu 2.68
Sn5 0.5000 0.0000 0.3281  3 Cu 2.68
Sn6 0.5000 0.0000 0.8281  3 Cu 2.68
Sn7 0.6719 0.6719 0.6719  3 Cu 2.68
Sn8 0.8281 0.5000 0.0000  3 Cu 2.68

=====

Compound: PaCuSn
Source: Alexandria
Functional: PBE
Structure: relaxed

M_tot = 0.5 μB per cell

a = 4.9074 Å, b = 4.3247 Å, c = 6.2845 Å
α = 90.00°, β = 106.01°, γ = 90.00°
With the nearest neighbours (Å) after each atom.
Atoms (fractional coordinates):
Pa1 0.0754 0.2500 0.2281  4 Cu 2.81-2.92
Pa2 0.9246 0.7500 0.7719  4 Cu 2.81-2.92
Cu1 0.3249 0.7500 0.5269  3 Sn 2.72-2.76, 4 Pa 2.81-2.92, 2 Cu 2.84
Cu2 0.6751 0.2500 0.4731  3 Sn 2.72-2.76, 4 Pa 2.81-2.92, 2 Cu 2.84
Sn1 0.4265 0.2500 0.8108  3 Cu 2.72-2.76
Sn2 0.5735 0.7500 0.1892  3 Cu 2.72-2.76

=====

Compound: PaCuSn
Source: Alexandria
Functional: PBE
Structure: relaxed

M_tot = 0.0 μB per cell

a = 4.3507 Å, b = 4.3507 Å, c = 4.0838 Å
α = 90.00°, β = 90.00°, γ = 120.00°
With the nearest neighbours (Å) after each atom.
Atoms (fractional coordinates):
Pa1 0.0000 0.0000 0.0000  3 Cu 2.89, 3 Sn 3.19
Cu1 0.6667 0.3333 0.6518  3 Sn 2.61, 3 Pa 2.89
Sn1 0.3333 0.6667 0.4800  3 Cu 2.61

=====

Compound: PaCu9Sn2
Source: Alexandria
Functional: PBE
Structure: relaxed

M_tot = 0.0 μB per cell

a = 8.5382 Å, b = 8.5382 Å, c = 8.5382 Å
α = 34.84°, β = 34.84°, γ = 34.84°
With the nearest neighbours (Å) after each atom.
Atoms (fractional coordinates):
Pa1 0.0000 0.0000 0.0000  18 Cu 2.95-3.25
Cu1 0.0799 0.5856 0.5856  7 Cu 2.49-2.58
Cu2 0.3336 0.3336 0.3336  6 Cu 2.49-2.50
Cu3 0.4144 0.4144 0.9201  7 Cu 2.49-2.58
Cu4 0.4144 0.9201 0.4144  7 Cu 2.49-2.58
Cu5 0.5000 0.5000 0.5000  6 Cu 2.49
Cu6 0.5856 0.0799 0.5856  7 Cu 2.49-2.58
Cu7 0.5856 0.5856 0.0799  7 Cu 2.49-2.58
Cu8 0.6664 0.6664 0.6664  6 Cu 2.49-2.50
Cu9 0.9201 0.4144 0.4144  7 Cu 2.49-2.58
Sn1 0.1384 0.1384 0.1384  12 Cu 2.87-3.05
Sn2 0.8616 0.8616 0.8616  12 Cu 2.87-3.05

=====

Compound: PaCuSn
Source: Alexandria
Functional: PBE
Structure: relaxed

M_tot = 0.0 μB per cell

a = 5.2663 Å, b = 5.2663 Å, c = 5.2663 Å
α = 136.22°, β = 136.22°, γ = 63.65°
With the nearest neighbours (Å) after each atom.
Atoms (fractional coordinates):
Pa1 0.0000 0.0000 0.0000  5 Cu 2.98-3.15, 5 Sn 3.03-3.13
Cu1 0.3331 0.3331 0.0000  5 Sn 2.94-3.17, 5 Pa 2.98-3.15
Sn1 0.6612 0.6612 0.0000  5 Cu 2.94-3.17, 5 Pa 3.03-3.13

=====

no.,ΔH_f (0 K) (eV per atom),E_tot (eV/atom)
1,0.14,-5.960
2,0.13,-5.971
3,-0.08,-5.124
4,0.03,-7.143
5,0.06,-5.361
6,0.10,-5.326
7,0.02,-4.959
8,-0.27,-5.952
9,-0.11,-5.976
10,-0.14,-6.007
11,-0.05,-4.579
12,0.23,-5.632